NbMo3Se at its PBEsol-relaxed geometry, computed with SCAN.

```
NbMo3Se
1.0
4.518 0.000 0.000
0.000 4.518 0.000
0.000 0.000 4.518
Nb Mo Se
1 3 1
direct
0.000 0.000 0.000
0.000 0.500 0.500
0.500 0.000 0.500
0.500 0.500 0.000
0.500 0.500 0.500
```

Calculated values
Its calculated volume is 18.44 Å³ per atom. Its space group is Pm-3m, No. 221. For the raw formation energy, the calculation gives 1.077 eV/atom. For the electronic total energy, the calculation gives -30.496 eV per atom.